The following is a PBE calculation of a relaxed structure of NaInRhAu, from Alexandria via LeMat-Bulk.

## Properties
Symmetry: F-43m, No. 216
Calculated formation energy (kJ/mol of atoms): -11

Cell and atoms, written as extended XYZ:
```
4
Lattice="0.0000 3.3032 3.3032 3.3032 0.0000 3.3032 3.3032 3.3032 0.0000" Properties=species:S:1:pos:R:3 pbc="T T T"
Na 0.0000 0.0000 0.0000
In 3.3032 3.3032 3.3032
Rh 4.9548 4.9548 4.9548
Au 1.6516 1.6516 1.6516
```



The following is a PBE calculation of a relaxed structure of Na2InSiAu6, from Alexandria via LeMat-Bulk.

## Properties
Uncorrected formation energy (eV per formula unit): -2.02
Symmetry: Pmmn, No. 59

Cell and atoms, written as extended XYZ:
```
20
Lattice="5.6952 0.0000 0.0000 0.0000 8.9908 0.0000 0.0000 0.0000 9.0601" Properties=species:S:1:pos:R:3 pbc="T T T"
Na 1.4238 0.0276 2.1275
Na 1.4238 4.4678 2.1275
Na 4.2714 4.5230 6.9326
Na 4.2714 8.9632 6.9326
In 1.4238 6.7431 7.1587
In 4.2714 2.2477 1.9013
Si 1.4238 2.2477 6.6452
Si 4.2714 6.7431 2.4149
Au 0.0060 6.7431 4.6454
Au 0.0142 6.7431 0.4472
Au 1.4238 0.0433 5.5928
Au 1.4238 4.4521 5.5928
Au 2.8334 6.7431 0.4472
Au 2.8416 6.7431 4.6454
Au 2.8536 2.2477 4.4146
Au 2.8618 2.2477 8.6129
Au 4.2714 4.5387 3.4673
Au 4.2714 8.9475 3.4673
Au 5.6810 2.2477 8.6129
Au 5.6892 2.2477 4.4146
```



The following is a PBE calculation of a relaxed structure of NaInSiAu2, from Alexandria via LeMat-Bulk.

## Properties
Uncorrected formation energy (eV per formula unit): 0.28
Symmetry: P4/mmm, No. 123

Cell and atoms, written as extended XYZ:
```
5
Lattice="4.7945 0.0000 0.0000 0.0000 4.7945 0.0000 0.0000 0.0000 5.4447" Properties=species:S:1:pos:R:3 pbc="T T T"
Na 0.0000 0.0000 0.0000
In 2.3973 2.3973 0.0000
Si 0.0000 0.0000 2.7223
Au 0.0000 2.3973 2.7223
Au 2.3973 0.0000 2.7223
```



The following is a PBE calculation of a relaxed structure of NaSmInAu, from Alexandria via LeMat-Bulk.

## Properties
Symmetry: F-43m, No. 216
Calculated formation energy (kJ/mol of atoms): -38

Cell and atoms, written as extended XYZ:
```
4
Lattice="0.0000 3.6646 3.6646 3.6646 0.0000 3.6646 3.6646 3.6646 0.0000" Properties=species:S:1:pos:R:3 pbc="T T T"
Na 0.0000 0.0000 0.0000
Sm 3.6646 3.6646 3.6646
In 1.8323 1.8323 1.8323
Au 5.4970 5.4970 5.4970
```



The following is a PBE calculation of a relaxed structure of Na2InSn3Au4, from Alexandria via LeMat-Bulk.

## Properties
Symmetry: P-4m2, No. 115
Calculated formation energy (kJ/mol of atoms): -24

Cell and atoms, written as extended XYZ:
```
10
Lattice="4.8461 0.0000 0.0000 0.0000 4.8461 0.0000 0.0000 0.0000 10.9712" Properties=species:S:1:pos:R:3 pbc="T T T"
Na 0.0000 2.4231 2.5024
Na 2.4231 0.0000 8.4688
In 0.0000 0.0000 5.4856
Sn 0.0000 2.4231 9.6136
Sn 2.4231 0.0000 1.3575
Sn 2.4231 2.4231 5.4856
Au 0.0000 0.0000 0.0000
Au 0.0000 2.4231 6.9200
Au 2.4231 0.0000 4.0512
Au 2.4231 2.4231 0.0000
```



The following is a PBE calculation of a relaxed structure of NaInSnAu2, from Alexandria via LeMat-Bulk.

## Properties
Symmetry: C2/m, No. 12
Calculated formation energy (kJ/mol of atoms): -26

Cell and atoms, written as extended XYZ:
```
10
Lattice="7.0943 -2.4875 0.0000 7.0943 2.4875 0.0000 -5.1846 0.0000 6.8543" Properties=species:S:1:pos:R:3 pbc="T T T"
Na 2.2469 0.0000 1.7020
Na 6.7571 0.0000 5.1523
In 5.3317 0.0000 0.4282
In 3.6723 0.0000 6.4260
Sn -0.8392 0.0000 2.9545
Sn 9.8431 0.0000 3.8998
Au -2.1256 0.0000 5.5534
Au 1.5135 0.0000 4.6982
Au 7.4904 0.0000 2.1560
Au 11.1295 0.0000 1.3009
```



The following is a PBE calculation of a relaxed structure of Na2InSnAu6, from Alexandria via LeMat-Bulk.

## Properties
Symmetry: Fm-3m, No. 225
Calculated formation energy (kJ/mol of atoms): 5

Cell and atoms, written as extended XYZ:
```
10
Lattice="0.0000 5.2819 5.2819 5.2819 0.0000 5.2819 5.2819 5.2819 0.0000" Properties=species:S:1:pos:R:3 pbc="T T T"
Na 2.6409 2.6409 2.6409
Na 7.9228 7.9228 7.9228
In 0.0000 0.0000 0.0000
Sn 5.2819 5.2819 5.2819
Au 5.2819 5.2819 2.6412
Au 5.2819 2.6412 5.2819
Au 7.9225 5.2819 5.2819
Au 2.6412 5.2819 5.2819
Au 5.2819 7.9225 5.2819
Au 5.2819 5.2819 7.9225
```



The following is a PBE calculation of a relaxed structure of NaSr2InAu, from Alexandria via LeMat-Bulk.

## Properties
Symmetry: P4/mmm, No. 123
Calculated formation energy (kJ/mol of atoms): -27

Cell and atoms, written as extended XYZ:
```
5
Lattice="6.1277 0.0000 0.0000 0.0000 6.1277 0.0000 0.0000 0.0000 5.2874" Properties=species:S:1:pos:R:3 pbc="T T T"
Na 0.0000 0.0000 0.0000
Sr 0.0000 3.0639 2.6437
Sr 3.0639 0.0000 2.6437
In 3.0639 3.0639 0.0000
Au 3.0639 3.0639 2.6437
```



no.,DFT total energy (eV per atom)
1,-3.78
2,-3.25
3,-3.15
4,-3.41
5,-3.29
6,-3.20
7,-2.85
8,-2.42